# KIn2W, relaxed, DFT PBE
data_KIn2W
_cell_length_a 2.978
_cell_length_b 4.755
_cell_length_c 8.474
_cell_angle_alpha 90.00
_cell_angle_beta 90.00
_cell_angle_gamma 90.00
_space_group_name_H-M_alt 'P m m 2'
_space_group_IT_number 25
loop_
_space_group_symop_operation_xyz
'x,y,z'
'-x,-y,z'
'-x,y,z'
'x,-y,z'
loop_
_atom_site_label
_atom_site_type_symbol
_atom_site_fract_x
_atom_site_fract_y
_atom_site_fract_z
K1 K 0.000 0.000 0.000
In1 In 0.000 0.000 0.400
In2 In 0.500 0.500 0.683
W1 W 0.500 0.500 0.359
# Calculated volume, Å³/atom: 30.0
# Calculated formation energy, eV per atom: 0.74
# Excess energy over the best structure of this formula in the dataset, eV/atom: 0.273



# KIn2W, relaxed, DFT PBE
data_KIn2W
_cell_length_a 2.949
_cell_length_b 4.305
_cell_length_c 7.858
_cell_angle_alpha 90.00
_cell_angle_beta 90.00
_cell_angle_gamma 90.00
_space_group_name_H-M_alt 'P m m m'
_space_group_IT_number 47
loop_
_space_group_symop_operation_xyz
'x,y,z'
'-x,-y,-z'
'-x,-y,z'
'x,y,-z'
'x,-y,-z'
'-x,y,z'
'-x,y,-z'
'x,-y,z'
loop_
_atom_site_label
_atom_site_type_symbol
_atom_site_fract_x
_atom_site_fract_y
_atom_site_fract_z
K1 K 0.000 0.000 0.000
In1 In 0.500 0.500 0.312
W1 W 0.000 0.000 0.500
# Calculated volume, Å³/atom: 24.9
# Calculated formation energy, eV per atom: 0.54
# Excess energy over the best structure of this formula in the dataset, eV/atom: 0.080